Entry 1:
The following is a DFT calculation (PBE) of Ce3Nd2ErSe6 after structural relaxation.

Raw total energy = -6.2126 eV per atom

Lattice parameters (Å, degrees): 7.240 12.543 7.272 90.00 109.41 90.00
Space group C2/m (No. 12)
Symmetry-distinct sites (fractional):
Ce1 0.000 0.000 0.000
Ce2 0.000 0.329 0.000
Nd1 0.000 0.166 0.500
Er1 0.000 0.500 0.500
Se1 0.240 0.500 0.251
Se2 0.243 0.338 0.744



Entry 2:
The following is a DFT calculation (PBE) of LaNdTmMg after structural relaxation.

Formation energy = 0.00 eV per atom

Lattice parameters (Å, degrees): 7.962 7.962 7.962 90.00 90.00 90.00
Space group F-43m (No. 216)
Symmetry-distinct sites (fractional):
La1 0.000 0.000 0.000
Nd1 0.000 0.000 0.500
Tm1 0.250 0.250 0.250
Mg1 0.250 0.250 0.750